No. 1
Here is crystalline Ba2As2Se5 at its relaxed geometry from the Alexandria database. Energies are from PBE.

Unit cell a=10.883 b=10.883 c=10.883 alpha=62.22 beta=137.04 gamma=137.24
Atoms (fractional coordinates):
Ba 0.008 0.112 0.120
Ba 0.008 0.388 0.395
Ba 0.992 0.612 0.605
Ba 0.992 0.888 0.880
As 0.501 0.788 0.213
As 0.522 0.022 0.500
As 0.522 0.522 0.000
As 0.574 0.288 0.787
Se 0.078 0.620 0.958
Se 0.310 0.051 0.547
Se 0.310 0.263 0.759
Se 0.494 0.206 0.260
Se 0.494 0.735 0.788
Se 0.504 0.551 0.241
Se 0.504 0.763 0.453
Se 0.662 0.120 0.042
Se 0.946 0.235 0.740
Se 0.946 0.706 0.212

- Volume: 589.24 Å³ per cell
- Uncorrected formation energy: -0.9469 eV per atom

---

No. 2
Here is crystalline BaAsSe3 at its relaxed geometry from the Alexandria database. Energies are from PBE.

Unit cell a=5.630 b=7.610 c=7.850 alpha=81.11 beta=87.14 gamma=89.72
Atoms (fractional coordinates):
Ba 0.234 0.188 0.144
Ba 0.766 0.812 0.856
As 0.448 0.654 0.315
As 0.552 0.346 0.685
Se 0.265 0.641 0.036
Se 0.304 0.089 0.743
Se 0.325 0.623 0.673
Se 0.675 0.377 0.327
Se 0.696 0.911 0.257
Se 0.735 0.359 0.964

- Volume: 331.88 Å³ per cell
- Uncorrected formation energy: -0.8138 eV per atom

---

No. 3
Here is crystalline BaAs2Se at its relaxed geometry from the Alexandria database. Energies are from PBE.

Unit cell a=5.022 b=4.037 c=6.751 alpha=90.00 beta=111.45 gamma=90.00
Atoms (fractional coordinates):
Ba 0.000 0.000 0.000
As 0.589 0.500 0.324
As 0.921 0.000 0.465
Se 0.471 0.500 0.923

- Volume: 127.41 Å³ per cell
- Uncorrected formation energy: -0.7517 eV per atom